Record 1
This record from Alexandria describes NbAl2Co after structural relaxation. The functional is PBE-GGA.

Geometry as POSCAR:
```
NbAl2Co
1.0
-2.308 1.257 6.378
-6.496 -0.710 -2.210
-4.305 -2.282 2.622
Al Nb Co
4 2 2
Cartesian
-3.227 0.070 4.080 Al
-6.821 -1.539 3.431 Al
-5.528 -0.801 0.357 Al
-10.641 -1.202 5.712 Al
0.000 0.000 0.000 Nb
-5.507 -0.376 5.542 Nb
-7.601 -1.360 1.248 Co
-4.402 0.273 2.084 Co
```

Total energy = -6.1578 eV per atom
Formation energy = 7 meV/atom



Record 2
This record from Alexandria describes YNbCu2 after structural relaxation. The functional is PBE-GGA.

Geometry as POSCAR:
```
YNbCu2
1.0
0.000 3.306 3.306
3.306 0.000 3.306
3.306 3.306 0.000
Cu Y Nb
2 1 1
Cartesian
1.653 1.653 1.653 Cu
4.958 4.958 4.958 Cu
0.000 0.000 0.000 Y
3.306 3.306 3.306 Nb
```

Total energy = -6.0525 eV per atom
Formation energy = 129 meV/atom